[1]
PuInHgO6 | PBE | optimized geometry

Cell lengths 5.5648, 5.5648, 9.8788 Å; angles 90.00, 90.00, 120.00 degrees
Last column: nearest neighbours and their distance in Å.
Sites, in units of the cell vectors:
O: 0.9762 0.3442 0.1366  1 Pu 2.03, 1 In 2.20
O: 0.3442 0.3679 0.8634  1 Pu 2.03, 1 In 2.20
O: 0.6321 0.6558 0.6366  1 Pu 2.03, 1 In 2.20
O: 0.3679 0.3442 0.3634  1 Pu 2.03, 1 In 2.20
O: 0.0238 0.6558 0.8634  1 Pu 2.03, 1 In 2.20
O: 0.3679 0.0238 0.1366  1 Pu 2.03, 1 In 2.20
O: 0.3442 0.9762 0.6366  1 Pu 2.03, 1 In 2.20
O: 0.0238 0.3679 0.6366  1 Pu 2.03, 1 In 2.20
O: 0.6558 0.6321 0.1366  1 Pu 2.03, 1 In 2.20
O: 0.9762 0.6321 0.3634  1 Pu 2.03, 1 In 2.20
O: 0.6558 0.0238 0.3634  1 Pu 2.03, 1 In 2.20
O: 0.6321 0.9762 0.8634  1 Pu 2.03, 1 In 2.20
In: 0.6667 0.3333 0.7500  6 O 2.20
In: 0.3333 0.6667 0.2500  6 O 2.20
Hg: 0.0000 0.0000 0.5000  6 O 2.40
Hg: 0.0000 0.0000 0.0000  6 O 2.40
Pu: 0.3333 0.6667 0.7500  6 O 2.03
Pu: 0.6667 0.3333 0.2500  6 O 2.03

[2]
PuInHg2O6 | PBE | optimized geometry

Cell lengths 5.7735, 5.7735, 5.9908 Å; angles 61.19, 61.20, 60.00 degrees
Last column: nearest neighbours and their distance in Å.
Sites, in units of the cell vectors:
In: 0.8162 0.8162 0.5515  6 O 2.20
O: 0.4517 0.6751 0.8001  1 Pu 2.16, 1 In 2.20, 1 Hg 2.24
O: 0.6751 0.0731 0.8001  1 Pu 2.16, 1 In 2.20, 1 Hg 2.24
O: 0.1806 0.9572 0.3029  1 Pu 2.16, 1 In 2.20, 1 Hg 2.24
O: 0.5593 0.1806 0.3028  1 Pu 2.16, 1 In 2.20, 1 Hg 2.24
O: 0.9572 0.5593 0.3029  1 Pu 2.16, 1 In 2.20, 1 Hg 2.24
O: 0.0730 0.4517 0.8001  1 Pu 2.16, 1 In 2.20, 1 Hg 2.24
Pu: 0.3162 0.3162 0.0515  6 O 2.16
Hg: 0.5603 0.5604 0.3190  3 O 2.24
Hg: 0.0719 0.0719 0.7843  3 O 2.24

[3]
InRe2HgO | PBE | optimized geometry

Cell lengths 4.0202, 5.4266, 4.0202 Å; angles 90.00, 90.00, 90.00 degrees
Last column: nearest neighbours and their distance in Å.
Sites, in units of the cell vectors:
In: 0.5000 0.5000 0.5000  4 Hg 2.84
Re: 0.0000 0.0000 0.5000  2 O 2.01
Re: 0.5000 0.0000 0.0000  2 O 2.01
Hg: 0.0000 0.5000 0.0000  2 O 2.71, 4 In 2.84
O: 0.0000 0.0000 0.0000  4 Re 2.01

[4]
InHgRuO6 | PBE | optimized geometry

Cell lengths 5.4765, 5.4764, 4.6717 Å; angles 89.98, 90.03, 59.98 degrees
Last column: nearest neighbours and their distance in Å.
Sites, in units of the cell vectors:
Hg: 0.9999 0.0000 0.0000  6 O 2.40
O: 0.6099 0.3565 0.7327  1 Ru 1.92
O: 0.3568 0.0336 0.7328  1 Ru 1.92
O: 0.3564 0.6100 0.2673  1 Ru 1.92
O: 0.0337 0.6096 0.7326  1 Ru 1.92
O: 0.0335 0.3568 0.2672  1 Ru 1.92
O: 0.6096 0.0337 0.2674  1 Ru 1.92
Ru: 0.3333 0.3333 0.5000  6 O 1.92
In: 0.6666 0.6666 0.5000  6 O 2.17

Sequential uncorrected formation energy output: -1.510, -1.402, 0.669, -0.684 eV/atom
Sequential density output: 8216, 9891, 13326, 7015 kg/m³